(1)
Here is AsP2W after structural relaxation from Alexandria. Energies are from PBE.

Cell: 7.552 7.552 7.552 Å, 24.10 24.10 24.10°
Element x y z (fractional)
P (0.747, 0.747, 0.747)
W (0.497, 0.497, 0.497)
P (0.011, 0.011, 0.011)
As (0.246, 0.246, 0.246)

As for the total moment: 0.0 μB/f.u. As for the symmetry: R3m. For the energy, the calculation gives -6.856 eV per atom. The crystal system is trigonal. The density of states at the Fermi level comes out at 0.588 states/eV/atom.

(2)
Here is AsPW after structural relaxation from Alexandria. Energies are from PBE.

Cell: 6.269 6.269 6.269 Å, 152.10 152.10 39.87°
Element x y z (fractional)
As (0.029, 0.029, 0.000)
P (0.291, 0.291, 0.000)
W (0.681, 0.681, 0.000)

As for the total moment: 0.0 μB/f.u. As for the symmetry: I4mm. For the energy above the most stable polymorph in this dataset, the calculation gives 168 meV/atom. For the energy, the calculation gives -7.537 eV per atom. The crystal system is tetragonal. The density of states at the Fermi level comes out at 0.421 states/eV/atom.